Model one:
The following is a DFT calculation (PBE-GGA) of crystalline Th5Cd at its relaxed geometry.

Geometry as CIF:
```
data_Th5Cd
_symmetry_space_group_name_H-M 'P -6 m 2'
_symmetry_Int_Tables_number 187
_symmetry_space_group_name_Hall 'P -6 2'
_cell_length_a 3.5202
_cell_length_b 3.5202
_cell_length_c 17.4645
_cell_angle_alpha 90.00
_cell_angle_beta 90.00
_cell_angle_gamma 120.00
loop_
_atom_site_label
_atom_site_type_symbol
_atom_site_fract_x
_atom_site_fract_y
_atom_site_fract_z
Th1 Th 0.0000 0.0000 0.0000
Th2 Th 0.0000 0.0000 0.3415
Th3 Th 0.3333 0.6667 0.1701
Cd1 Cd 0.3333 0.6667 0.5000
```

## Properties
M_tot (μB/f.u.): 0.0
Crystal system: hexagonal

---

Model two:
The following is a DFT calculation (PBE-GGA) of crystalline Th5Cd at its relaxed geometry.

Geometry as CIF:
```
data_Th5Cd
_symmetry_space_group_name_H-M 'C m m m'
_symmetry_Int_Tables_number 65
_symmetry_space_group_name_Hall '-C 2 2'
_cell_length_a 5.926
_cell_length_b 17.538
_cell_length_c 3.579
_cell_angle_alpha 90.00
_cell_angle_beta 90.00
_cell_angle_gamma 90.00
loop_
_atom_site_label
_atom_site_type_symbol
_atom_site_fract_x
_atom_site_fract_y
_atom_site_fract_z
Th1 Th 0.000 0.000 0.000
Th2 Th 0.000 0.169 0.500
Th3 Th 0.000 0.341 0.000
Cd1 Cd 0.000 0.500 0.500
```

## Properties
M_tot (μB/f.u.): 0.0
Crystal system: orthorhombic

---

Which of them is the most stable, and which is the least stable? model one and model two, in that order.

---

Model one:
The following is a DFT calculation (PBE-GGA) of crystalline Th2TiCd at its relaxed geometry.

Geometry as CIF:
```
data_Th2TiCd
_symmetry_space_group_name_H-M 'P 4/m m m'
_symmetry_Int_Tables_number 123
_symmetry_space_group_name_Hall '-P 4 2'
_cell_length_a 4.780
_cell_length_b 4.780
_cell_length_c 4.599
_cell_angle_alpha 90.00
_cell_angle_beta 90.00
_cell_angle_gamma 90.00
loop_
_atom_site_label
_atom_site_type_symbol
_atom_site_fract_x
_atom_site_fract_y
_atom_site_fract_z
Th1 Th 0.000 0.500 0.000
Ti1 Ti 0.000 0.000 0.500
Cd1 Cd 0.500 0.500 0.500
```

## Properties
M_tot (μB/f.u.): 0.0
Crystal system: tetragonal

---

Model two:
The following is a DFT calculation (PBE-GGA) of crystalline Th2TiCd at its relaxed geometry.

Geometry as CIF:
```
data_Th2TiCd
_symmetry_space_group_name_H-M 'R -3 m'
_symmetry_Int_Tables_number 166
_symmetry_space_group_name_Hall '-R 3 2"'
_cell_length_a 3.2759
_cell_length_b 3.2759
_cell_length_c 34.9401
_cell_angle_alpha 90.00
_cell_angle_beta 90.00
_cell_angle_gamma 120.00
loop_
_atom_site_label
_atom_site_type_symbol
_atom_site_fract_x
_atom_site_fract_y
_atom_site_fract_z
Th1 Th 0.0000 0.0000 0.0840
Ti1 Ti 0.0000 0.0000 0.0000
Cd1 Cd 0.0000 0.0000 0.5000
```

## Properties
M_tot (μB/f.u.): 1.1
Crystal system: trigonal

---

Which of them is the most stable, and which is the least stable? model one and model two, in that order.

---

Model one:
The following is a DFT calculation (PBE-GGA) of crystalline Th2TiCd at its relaxed geometry.

Geometry as CIF:
```
data_Th2TiCd
_symmetry_space_group_name_H-M 'F m -3 m'
_symmetry_Int_Tables_number 225
_symmetry_space_group_name_Hall '-F 4 2 3'
_cell_length_a 7.579
_cell_length_b 7.579
_cell_length_c 7.579
_cell_angle_alpha 90.00
_cell_angle_beta 90.00
_cell_angle_gamma 90.00
loop_
_atom_site_label
_atom_site_type_symbol
_atom_site_fract_x
_atom_site_fract_y
_atom_site_fract_z
Th1 Th 0.250 0.250 0.250
Ti1 Ti 0.000 0.000 0.000
Cd1 Cd 0.000 0.000 0.500
```

## Properties
M_tot (μB/f.u.): 2.0
Crystal system: cubic

---

Model two:
The following is a DFT calculation (PBE-GGA) of crystalline Th2TiCd at its relaxed geometry.

Geometry as CIF:
```
data_Th2TiCd
_symmetry_space_group_name_H-M 'P 4/m m m'
_symmetry_Int_Tables_number 123
_symmetry_space_group_name_Hall '-P 4 2'
_cell_length_a 3.336
_cell_length_b 3.336
_cell_length_c 9.603
_cell_angle_alpha 90.00
_cell_angle_beta 90.00
_cell_angle_gamma 90.00
loop_
_atom_site_label
_atom_site_type_symbol
_atom_site_fract_x
_atom_site_fract_y
_atom_site_fract_z
Th1 Th 0.000 0.000 0.232
Ti1 Ti 0.500 0.500 0.000
Cd1 Cd 0.500 0.500 0.500
```

## Properties
M_tot (μB/f.u.): 0.0
Crystal system: tetragonal

---

Which of them is the most stable, and which is the least stable? model two and model one, in that order.